Compound: Ba2ErVO6
Source: the Alexandria database
Functional: GGA+U
Structure: optimized geometry Values from VASP.

## Properties
- energy (Ry per atom) = -0.527
- SG = P-3m1
- crystal system = trigonal

```
&SYSTEM
  ibrav = 0, nat = 10, ntyp = 4
/
ATOMIC_SPECIES
V 50.94 V.upf
Er 167.26 Er.upf
O 16.00 O.upf
Ba 137.33 Ba.upf
CELL_PARAMETERS angstrom
5.6076 0.0000 0.0000
0.0000 5.9633 0.0000
0.0000 -2.9816 5.1643
ATOMIC_POSITIONS crystal
V 0.0000 0.0000 0.0000
Er 0.5000 0.0000 0.0000
O 0.7929 0.7033 0.8517
O 0.2071 0.8517 0.1483
O 0.2071 0.2967 0.1483
O 0.2071 0.8517 0.7033
O 0.7929 0.1483 0.8517
O 0.7929 0.1483 0.2967
Ba 0.1439 0.3333 0.6667
Ba 0.8561 0.6667 0.3333
```